The following is a PBE-GGA calculation of an optimized crystal structure of LiAc2Sn, from Alexandria.

Properties
DOS(E_F) in states/eV per cell: 4.38
Total moment in μB/f.u.: 0.0
ΔE_f in eV per atom: -0.364

Geometry as CIF:
```
data_LiAc2Sn
_symmetry_space_group_name_H-M 'P 4/m m m'
_symmetry_Int_Tables_number 123
_symmetry_space_group_name_Hall '-P 4 2'
_cell_length_a 5.447
_cell_length_b 5.447
_cell_length_c 4.507
_cell_angle_alpha 90.00
_cell_angle_beta 90.00
_cell_angle_gamma 90.00
loop_
_atom_site_label
_atom_site_type_symbol
_atom_site_fract_x
_atom_site_fract_y
_atom_site_fract_z
_atom_site_occupancy
Li1 Li 0.000 0.000 0.000 1
Ac1 Ac 0.000 0.500 0.500 1
Sn1 Sn 0.500 0.500 0.000 1
```